ZrZn2Au | Alexandria via LeMat-Bulk | PBEsol | optimized geometry; calculated formation energy = -0.3093 eV per atom; uncorrected energy = -4.35 eV/atom
1.0
3.102 0.000 0.000
0.000 3.102 0.000
0.000 0.000 6.839
Zr Zn Au
1 2 1
direct
0.000 0.000 0.000
0.000 0.000 0.515
0.500 0.500 0.726
0.500 0.500 0.283

---

ZnHPd2Pb | Alexandria via LeMat-Bulk | PBEsol | optimized geometry; uncorrected energy = -4.14 eV/atom
1.0
3.969 0.000 0.000
0.000 3.969 0.000
0.000 0.000 4.585
Zn H Pd Pb
1 1 2 1
direct
0.000 0.000 0.000
0.500 0.500 0.500
0.000 0.500 0.500
0.500 0.000 0.500
0.500 0.500 0.000

---

Zr2SiMo | Alexandria via LeMat-Bulk | PBEsol | optimized geometry; formation energy without anion corrections = -0.27 eV/atom; uncorrected energy = -9.20 eV/atom
1.0
-1.701 2.244 4.662
1.701 -2.244 4.662
1.701 2.244 -4.662
Zr Si Mo
2 1 1
direct
0.000 0.000 0.000
0.735 0.235 0.500
0.459 0.459 0.000
0.246 0.746 0.500

---

| no. | Fermi-level density of states (states/eV/f.u.) |
| --- | --- |
| 1 | 2.459 |
| 2 | 1.790 |
| 3 | 3.944 |